Material: LuGa4Ag
Method: DFT, GGA-PBE
State: optimized geometry

Energy of formation in eV per atom: -0.16
V in Å³ per atom: 19.1
Total magnetic moment in μB per cell: 0.00
Electronic total energy in eV per atom: -3.41

Cell lengths 5.454, 5.454, 5.454 Å; angles 60.00, 60.00, 60.00 degrees
Fractional positions:
Ga (0.625, 0.625, 0.625)
Ga (0.126, 0.625, 0.625)
Ga (0.625, 0.126, 0.625)
Ga (0.625, 0.625, 0.126)
Lu (0.250, 0.250, 0.250)
Ag (0.000, 0.000, 0.000)